Entry 1:
Computed, not measured: a relaxed LiInHg crystal at the PBE level of DFT.

Cell: 4.9101 4.9101 3.2782 Å, 90.00 90.00 120.00°
Space group P3m1 (No. 156)
One atom of each set of equivalent atoms:
Li  0.0000  0.0000  0.0000 (multiplicity 1)
In  0.6667  0.3333  0.5025 (multiplicity 1)
Hg  0.3333  0.6667  0.5036 (multiplicity 1)

Calculated values
Energy of formation from the pure elements, eV/atom: -0.2055
Mass density, kg/m3: 7820
Energy relative to the lowest polymorph listed for this composition, meV/atom: 23

Entry 2:
Computed, not measured: a relaxed Li3InHg7 crystal at the PBE level of DFT.

Cell: 3.3222 32.0280 10.7949 Å, 90.00 90.00 90.00°
Space group Cmcm (No. 63)
One atom of each set of equivalent atoms:
Li  0.0000  0.0594  0.0725 (multiplicity 8)
Li  0.0000  0.1760  0.7500 (multiplicity 4)
In  0.0000  0.0883  0.7500 (multiplicity 4)
Hg  0.0000  0.2763  0.0902 (multiplicity 8)
Hg  0.0000  0.3713  0.0265 (multiplicity 8)
Hg  0.0000  0.3957  0.7500 (multiplicity 4)
Hg  0.0000  0.4828  0.1196 (multiplicity 8)

Calculated values
Energy of formation from the pure elements, eV/atom: -0.1320
Mass density, kg/m3: 8904

Entry 3:
Computed, not measured: a relaxed Li2In3Hg crystal at the PBE level of DFT.

Cell: 5.4299 6.2910 8.7016 Å, 100.34 101.57 107.69°
Space group P-1 (No. 2)
One atom of each set of equivalent atoms:
Li  0.2364  0.2905  0.4301 (multiplicity 2)
Li  0.2565  0.9489  0.0783 (multiplicity 2)
In  0.2373  0.1262  0.7715 (multiplicity 2)
In  0.2380  0.4441  0.0978 (multiplicity 2)
In  0.2527  0.7924  0.4062 (multiplicity 2)
Hg  0.2808  0.6493  0.7266 (multiplicity 2)

Calculated values
Energy of formation from the pure elements, eV/atom: -0.1823
Mass density, kg/m3: 6925
Energy relative to the lowest polymorph listed for this composition, meV/atom: 0

Entry 4:
Computed, not measured: a relaxed LiIn3Hg5 crystal at the PBE level of DFT.

Cell: 8.9559 8.9559 6.5290 Å, 90.00 90.00 120.00°
Space group P6_3/mcm (No. 193)
One atom of each set of equivalent atoms:
Li  0.0000  0.0000  0.0000 (multiplicity 2)
In  0.0000  0.3795  0.2500 (multiplicity 6)
Hg  0.0000  0.2728  0.7500 (multiplicity 6)
Hg  0.3333  0.6667  0.0000 (multiplicity 4)

Calculated values
Energy of formation from the pure elements, eV/atom: -0.0639
Mass density, kg/m3: 9918
Energy relative to the lowest polymorph listed for this composition, meV/atom: 0

What is the formula in the first record?
LiInHg